VASP calculation (GGA-PBE) on an optimized crystal structure of CaLaH3.

## Properties
The density of states at the Fermi level comes out at 2.3 states/eV/cell. As for the total energy: -3.6422 eV/atom. The space group is Pm-3m (221).

Lattice parameters (Å, degrees): 4.513 4.513 4.513 90.00 90.00 90.00
Fractional positions:
1 Ca 0.000 0.000 0.000
2 La 0.500 0.500 0.500
3 H 0.000 0.500 0.500
4 H 0.500 0.000 0.500
5 H 0.500 0.500 0.000